DFT (PBE+U) results for a relaxed SrCo2ReO6 crystal.

Properties
**V**: 126.5 Å³/f.u.
**Total magnetic moment**: 0.50 μB/atom
**ρ**: 6.4 g/cm³
**Crystal system**: triclinic
**Raw total energy**: -6.9882 eV/atom

```
10
Lattice="-5.450 0.262 -0.984 -2.134 -0.292 -5.117 -2.465 -4.856 -1.289" Properties=species:S:1:pos:R:3 pbc="T T T"
Co -4.906 -2.127 -3.744
Co -2.495 -4.636 -1.448
O -5.123 -3.908 -4.981
O -3.555 -3.771 -2.906
O -7.088 -1.084 -4.052
O -4.342 -1.000 -2.100
O -4.283 -1.113 -5.329
O -6.087 -3.495 -2.711
Re -2.514 -0.191 -1.988
Sr -7.326 -3.169 -5.643
```